1.
Below is Rb2Br6ClO after structural relaxation, with properties calculated at the GGA-PBE level.

Structure (POSCAR):
```
Rb2Br6ClO
1.0
-4.137 4.864 3.897
-6.093 -4.140 -1.302
-4.116 -2.607 6.063
Br Rb Cl O
6 2 1 1
direct
0.783 0.783 0.435
0.217 0.217 0.565
0.286 0.714 0.000
0.714 0.286 0.000
0.714 0.714 0.000
0.286 0.286 0.000
0.750 0.250 0.500
0.250 0.750 0.500
0.000 0.000 0.000
0.500 0.500 0.000
```

## Properties
Volume: 319 Å³/f.u.
Formation energy without anion corrections: -0.44 eV/atom
Uncorrected energy: -2.32 eV per atom

---

2.
Below is Cd2C after structural relaxation, with properties calculated at the GGA-PBE level.

Structure (POSCAR):
```
Cd2C
1.0
2.953 -6.017 0.000
2.953 6.017 0.000
0.000 0.000 3.104
C Cd
2 4
direct
0.647 0.353 0.000
0.353 0.647 0.000
0.792 0.208 0.500
0.500 0.500 0.500
0.208 0.792 0.500
0.000 0.000 0.000
```

## Properties
Formation energy from the elements: 1439.7 meV per atom
Distance to the lowest polymorph of the same formula: 696 meV/atom
Volume: 55 Å³/f.u.
Uncorrected energy: -2.25 eV per atom